(1)
! InNi3N | the Alexandria database | PBE | relaxed; values from VASP
! DOS(E_F): 0.8295 states/eV per atom
! calculated total energy: -5.453 eV per atom
! energy relative to the elements, uncorrected: 0.23 eV per atom
&SYSTEM
  ibrav = 0, nat = 10, ntyp = 3
/
ATOMIC_SPECIES
In 114.82 In.upf
Ni 58.69 Ni.upf
N 14.01 N.upf
ATOMIC_POSITIONS crystal
In 0.1050 0.8950 0.7500
In 0.8950 0.1050 0.2500
Ni 0.0373 0.4495 0.7500
Ni 0.4495 0.0373 0.2500
Ni 0.5000 0.5000 0.0000
Ni 0.5000 0.5000 0.5000
Ni 0.5505 0.9627 0.7500
Ni 0.9627 0.5505 0.2500
N 0.3929 0.6071 0.7500
N 0.6071 0.3929 0.2500
CELL_PARAMETERS angstrom
2.3823 -6.4965 0.0000
2.3823 6.4965 0.0000
0.0000 0.0000 4.6015


(2)
! InNi3N | the Alexandria database | PBE | relaxed; values from VASP
! DOS(E_F): 0.5876 states/eV per atom
! calculated total energy: -5.212 eV per atom
! energy relative to the elements, uncorrected: 0.47 eV per atom
&SYSTEM
  ibrav = 0, nat = 5, ntyp = 3
/
ATOMIC_SPECIES
In 114.82 In.upf
Ni 58.69 Ni.upf
N 14.01 N.upf
ATOMIC_POSITIONS crystal
In 0.0000 0.0000 0.0000
Ni 0.3008 0.3008 0.6763
Ni 0.3008 0.6763 0.3008
Ni 0.6763 0.3008 0.3008
N 0.6005 0.6005 0.6005
CELL_PARAMETERS angstrom
3.4686 2.0026 1.7749
-3.4686 2.0026 1.7749
0.0000 -4.0052 1.7749


(3)
! InNi3N | the Alexandria database | PBE | relaxed; values from VASP
! DOS(E_F): 0.9309 states/eV per atom
! calculated total energy: -5.431 eV per atom
! energy relative to the elements, uncorrected: 0.25 eV per atom
&SYSTEM
  ibrav = 0, nat = 10, ntyp = 3
/
ATOMIC_SPECIES
In 114.82 In.upf
Ni 58.69 Ni.upf
N 14.01 N.upf
ATOMIC_POSITIONS crystal
In 0.1594 0.1594 0.0000
In 0.8406 0.8406 0.0000
Ni 0.1218 0.6218 0.5000
Ni 0.1259 0.3905 0.7354
Ni 0.3782 0.8782 0.5000
Ni 0.6095 0.3449 0.7354
Ni 0.6095 0.8741 0.2646
Ni 0.6551 0.3905 0.2646
N 0.5000 0.5000 0.0000
N 0.7500 0.2500 0.5000
CELL_PARAMETERS angstrom
-2.5351 2.5351 5.1950
2.5351 -2.5351 5.1950
2.5351 2.5351 -5.1950


(4)
! In3Ni7N | the Alexandria database | PBE | relaxed; values from VASP
! DOS(E_F): 0.5569 states/eV per atom
! calculated total energy: -5.157 eV per atom
! energy relative to the elements, uncorrected: 0.03 eV per atom
&SYSTEM
  ibrav = 0, nat = 22, ntyp = 3
/
ATOMIC_SPECIES
In 114.82 In.upf
Ni 58.69 Ni.upf
N 14.01 N.upf
ATOMIC_POSITIONS crystal
In 0.0000 0.0000 0.0000
In 0.1732 0.3268 0.5000
In 0.3268 0.8268 0.5000
In 0.5000 0.5000 0.0000
In 0.6732 0.1732 0.5000
In 0.8268 0.6732 0.5000
Ni 0.0000 0.0000 0.5000
Ni 0.1248 0.6248 0.2414
Ni 0.1248 0.6248 0.7586
Ni 0.1759 0.3241 0.0000
Ni 0.3241 0.8241 0.0000
Ni 0.3752 0.1248 0.2414
Ni 0.3752 0.1248 0.7586
Ni 0.5000 0.5000 0.5000
Ni 0.6248 0.8752 0.2414
Ni 0.6248 0.8752 0.7586
Ni 0.6759 0.1759 0.0000
Ni 0.8241 0.6759 0.0000
Ni 0.8752 0.3752 0.2414
Ni 0.8752 0.3752 0.7586
N 0.0000 0.5000 0.0000
N 0.5000 0.0000 0.0000
CELL_PARAMETERS angstrom
7.4047 0.0000 0.0000
0.0000 7.4047 0.0000
0.0000 0.0000 5.5064


(5)
! InNi4N | the Alexandria database | PBE | relaxed; values from VASP
! DOS(E_F): 0.6428 states/eV per atom
! calculated total energy: -5.615 eV per atom
! energy relative to the elements, uncorrected: 0.08 eV per atom
&SYSTEM
  ibrav = 0, nat = 6, ntyp = 3
/
ATOMIC_SPECIES
In 114.82 In.upf
Ni 58.69 Ni.upf
N 14.01 N.upf
ATOMIC_POSITIONS crystal
In 0.0000 0.0000 0.0000
Ni 0.0000 0.5000 0.5000
Ni 0.5000 0.0000 0.5000
Ni 0.5000 0.5000 0.1924
Ni 0.5000 0.5000 0.8076
N 0.5000 0.5000 0.5000
CELL_PARAMETERS angstrom
3.5998 0.0000 0.0000
0.0000 3.5998 0.0000
0.0000 0.0000 6.1393


(6)
! In2NiN | the Alexandria database | PBE | relaxed; values from VASP
! DOS(E_F): 0.6441 states/eV per atom
! calculated total energy: -4.475 eV per atom
! energy relative to the elements, uncorrected: 0.42 eV per atom
&SYSTEM
  ibrav = 0, nat = 8, ntyp = 3
/
ATOMIC_SPECIES
In 114.82 In.upf
Ni 58.69 Ni.upf
N 14.01 N.upf
ATOMIC_POSITIONS crystal
In 0.0739 0.6250 0.9489
In 0.3750 0.3239 0.4489
In 0.6761 0.1250 0.0511
In 0.8750 0.9261 0.5511
Ni 0.2500 0.7500 0.5000
Ni 0.5000 0.5000 0.0000
N 0.0000 0.0000 0.0000
N 0.7500 0.2500 0.5000
CELL_PARAMETERS angstrom
-3.0746 3.0746 3.7881
3.0746 -3.0746 3.7881
3.0746 3.0746 -3.7881